Density functional theory data (PBE) for a geometry-optimized LaTbDyHg structure.

Unit cell a=7.8033 b=7.8033 c=7.8033 alpha=90.00 beta=90.00 gamma=90.00
Space group F-43m (No. 216)
Inequivalent atoms, fractional coordinates:
La (0.0000, 0.0000, 0.0000) x4
Tb (0.0000, 0.0000, 0.5000) x4
Dy (0.2500, 0.2500, 0.7500) x4
Hg (0.2500, 0.2500, 0.2500) x4

Results
V = 29.70 Å³/atom
Total DFT energy (no corrections) = -14.7 eV/f.u.
ρ = 9.2 g cm⁻³
Crystal system = cubic
Energy of formation from the pure elements = -0.071 eV/atom

***

Density functional theory data (PBE) for a geometry-optimized LaTbDy2Hg4 structure.

Unit cell a=5.3240 b=5.3240 c=26.3488 alpha=90.00 beta=90.00 gamma=120.00
Space group R-3m (No. 166, hexagonal axes)
Inequivalent atoms, fractional coordinates:
La (0.0000, 0.0000, 0.0000) x3
Tb (0.0000, 0.0000, 0.5000) x3
Dy (0.0000, 0.0000, 0.2490) x6
Hg (0.0000, 0.0000, 0.1275) x6
Hg (0.0000, 0.0000, 0.3790) x6

Results
V = 26.95 Å³/atom
Total DFT energy (no corrections) = -23.8 eV/f.u.
ρ = 11.0 g cm⁻³
Crystal system = trigonal
Energy of formation from the pure elements = -0.473 eV/atom